[1]
The following is a PBE calculation of crystalline Rb3CoI6 at its relaxed geometry, from Alexandria.

Cell and atoms, written as POSCAR:
```
Rb3CoI6
1.0
9.5573 0.3675 0.3757
0.1600 9.5630 0.3757
0.1600 0.1635 9.5690
Rb Co I
6 2 12
direct
0.4589 0.9132 0.8072
0.9132 0.8072 0.4589
0.1928 0.5411 0.0868
0.8072 0.4589 0.9132
0.0868 0.1928 0.5411
0.5411 0.0868 0.1928
0.0000 0.0000 0.0000
0.5000 0.5000 0.5000
0.2071 0.9045 0.1600
0.0955 0.8400 0.7929
0.5221 0.7763 0.4644
0.8400 0.7929 0.0955
0.4644 0.5221 0.7763
0.2237 0.5356 0.4779
0.7763 0.4644 0.5221
0.5356 0.4779 0.2237
0.1600 0.2071 0.9045
0.4779 0.2237 0.5356
0.9045 0.1600 0.2071
0.7929 0.0955 0.8400
```

Summary:
* formation energy without anion corrections: -843.7 meV/atom
* V: 872.9 Å³/cell
* space group: R-3 (148)

[2]
The following is a PBE calculation of crystalline TlNiW at its relaxed geometry, from Alexandria.

Cell and atoms, written as POSCAR:
```
TlNiW
1.0
4.2376 0.0000 0.0000
2.1188 3.6698 0.0000
2.1188 1.2233 3.4600
Ni Tl W
1 1 1
direct
0.7500 0.7500 0.7500
0.0000 0.0000 0.0000
0.5000 0.5000 0.5000
```

Summary:
* calculated formation energy: 845 meV per atom
* V: 53.8 Å³/cell
* space group: F-43m (216)

[3]
The following is a PBE calculation of crystalline NaLiInSb at its relaxed geometry, from Alexandria.

Cell and atoms, written as POSCAR:
```
NaLiInSb
1.0
-4.1767 -1.3845 2.6825
-0.5200 -4.8605 1.6318
0.4064 -1.0899 5.0204
Sb Li Na In
1 1 1 1
direct
0.2500 0.2500 0.2500
0.0000 0.0000 0.0000
0.5000 0.5000 0.5000
0.7500 0.7500 0.7500
```

Summary:
* formation energy without anion corrections: -301.1 meV/atom
* V: 96.8 Å³/cell
* space group: F-43m (216)

[4]
The following is a PBE calculation of crystalline BaMnSe2 at its relaxed geometry, from Alexandria.

Cell and atoms, written as POSCAR:
```
BaMnSe2
1.0
7.4363 0.0000 0.0000
0.0000 7.4363 0.0000
3.7182 3.7182 3.7362
Mn Ba Se
2 2 4
direct
0.5000 0.5000 0.0000
0.2500 0.7500 0.5000
0.0000 0.0000 0.0000
0.7500 0.2500 0.5000
0.5132 0.1250 0.2500
0.2368 0.6250 0.2500
0.3750 0.4868 0.7500
0.8750 0.7632 0.7500
```

Summary:
* formation energy without anion corrections: -816.3 meV/atom
* V: 206.6 Å³/cell
* space group: I-42d (122)

> Among the records above, which one has the highest V?

Rb3CoI6

Please write out number 3 again, unchanged.
The following is a PBE calculation of crystalline NaLiInSb at its relaxed geometry, from Alexandria.

Cell and atoms, written as POSCAR:
```
NaLiInSb
1.0
-4.1767 -1.3845 2.6825
-0.5200 -4.8605 1.6318
0.4064 -1.0899 5.0204
Sb Li Na In
1 1 1 1
direct
0.2500 0.2500 0.2500
0.0000 0.0000 0.0000
0.5000 0.5000 0.5000
0.7500 0.7500 0.7500
```

Summary:
* formation energy without anion corrections: -301.1 meV/atom
* V: 96.8 Å³/cell
* space group: F-43m (216)